The following is a DFT calculation (GGA-PBE) of crystalline NaPtF6 at its relaxed geometry.

Geometry as CIF:
```
data_NaPtF6
_symmetry_space_group_name_H-M 'P 3 1 2'
_symmetry_Int_Tables_number 149
_cell_length_a 5.2989
_cell_length_b 5.2989
_cell_length_c 5.0459
_cell_angle_alpha 90.00
_cell_angle_beta 90.00
_cell_angle_gamma 120.00
loop_
_symmetry_equiv_pos_as_xyz
'x,y,z'
'-y,x-y,z'
'-x+y,-x,z'
'-y,-x,-z'
'-x+y,y,-z'
'x,x-y,-z'
loop_
_atom_site_label
_atom_site_type_symbol
_atom_site_fract_x
_atom_site_fract_y
_atom_site_fract_z
Na1 Na 0.0000 0.0000 0.0000
Pt1 Pt 0.6667 0.3333 0.5000
F1 F 0.3714 0.0372 0.7231
```

Summary:
- size of the total moment (μB/f.u.) = 1.1
- ΔE_f (raw) (eV per atom) = -1.6966
- E (eV per cell) = -32.16

***

The following is a DFT calculation (GGA-PBE) of crystalline NaPt2F8 at its relaxed geometry.

Geometry as CIF:
```
data_NaPt2F8
_symmetry_space_group_name_H-M 'P -3 m 1'
_symmetry_Int_Tables_number 164
_symmetry_space_group_name_Hall '-P 3 2"'
_cell_length_a 7.1072
_cell_length_b 7.1072
_cell_length_c 4.1547
_cell_angle_alpha 90.00
_cell_angle_beta 90.00
_cell_angle_gamma 120.00
loop_
_atom_site_label
_atom_site_type_symbol
_atom_site_fract_x
_atom_site_fract_y
_atom_site_fract_z
Na1 Na 0.0000 0.0000 0.0000
Pt1 Pt 0.3333 0.6667 0.7490
F1 F 0.1721 0.3443 0.7462
F2 F 0.3333 0.6667 0.2487
```

Summary:
- size of the total moment (μB/f.u.) = 4.3
- ΔE_f (raw) (eV per atom) = -1.1888
- E (eV per cell) = -41.45